Record 1
First-principles (GGA-PBE) data for a geometry-optimized PH2Ir structure, as listed in Alexandria via LeMat-Bulk.

Cell and atoms, written as POSCAR:
```
PH2Ir
1.0
0.0000 2.6015 2.6015
2.6015 0.0000 2.6015
2.6015 2.6015 0.0000
P H Ir
1 2 1
Direct
0.0000 0.0000 0.0000
0.2500 0.2500 0.2500
0.7500 0.7500 0.7500
0.5000 0.5000 0.5000
```

**Symmetry**: No. 225

=====

Record 2
First-principles (GGA-PBE) data for a geometry-optimized RePBr2 structure, as listed in Alexandria via LeMat-Bulk.

Cell and atoms, written as POSCAR:
```
RePBr2
1.0
2.5296 -5.0201 0.0000
2.5296 5.0201 0.0000
-1.7633 0.0000 2.9927
Re P Br
1 1 2
Direct
0.0000 0.0000 0.0000
0.5000 0.5000 0.0000
0.0000 0.5000 0.5000
0.5000 0.0000 0.5000
```

**Symmetry**: No. 12
**E_form (uncorrected)**: 1245 meV/atom

=====

These records have total DFT energy (no corrections) values of -4.344; -4.056 eV/atom, in the order they appear.